Record 1
## Na2BiBS4 (PBE)

Data for Na2BiBS4 after structural relaxation.

a = 8.254 Å, b = 8.254 Å, c = 7.955 Å
α = 115.06°, β = 115.06°, γ = 99.28°
Atoms (fractional coordinates):
Na  0.000  0.000  0.000
Na  0.000  0.000  0.500
Na  0.000  0.500  0.000
Na  0.500  0.000  0.500
Bi  0.500  0.500  0.000
Bi  0.500  0.500  0.500
B  0.000  0.500  0.500
B  0.500  0.000  0.000
S  0.138  0.630  0.455
S  0.230  0.302  0.036
S  0.302  0.230  0.536
S  0.370  0.862  0.045
S  0.630  0.138  0.955
S  0.698  0.770  0.464
S  0.770  0.698  0.964
S  0.862  0.370  0.545

Its formation energy (no corrections) is -0.5230 eV/atom.

=====

Record 2
## Na2TiBiB (PBE)

Data for Na2TiBiB after structural relaxation.

a = 5.972 Å, b = 5.972 Å, c = 3.944 Å
α = 90.00°, β = 90.00°, γ = 90.00°
Atoms (fractional coordinates):
Na  0.000  0.500  0.000
Na  0.500  0.000  0.000
Ti  0.000  0.000  0.000
Bi  0.500  0.500  0.500
B  0.000  0.000  0.500

The value obtained for the energy of formation from the pure elements is 512.6 kJ/mol of formula units.

=====

Record 3
## NaTiBi2B (PBE)

Data for NaTiBi2B after structural relaxation.

a = 5.358 Å, b = 5.358 Å, c = 5.057 Å
α = 90.00°, β = 90.00°, γ = 90.00°
Atoms (fractional coordinates):
Na  0.000  0.000  0.000
Ti  0.000  0.000  0.500
Bi  0.000  0.500  0.000
Bi  0.500  0.000  0.000
B  0.500  0.500  0.500

The value obtained for the energy of formation from the pure elements is 875.5 kJ/mol of formula units.

=====

Record 4
## NbBiB3 (PBE)

Data for NbBiB3 after structural relaxation.

a = 4.362 Å, b = 4.362 Å, c = 4.362 Å
α = 90.00°, β = 90.00°, γ = 90.00°
Atoms (fractional coordinates):
Nb  0.000  0.000  0.000
Bi  0.500  0.500  0.500
B  0.000  0.000  0.500
B  0.000  0.500  0.000
B  0.500  0.000  0.000

The value obtained for the energy of formation from the pure elements is 642.2 kJ/mol of formula units. The calculation puts the distance to the lowest polymorph of the same formula at 0 meV/atom.

=====

Record 5
## NbBiB3 (PBE)

Data for NbBiB3 after structural relaxation.

a = 4.495 Å, b = 4.495 Å, c = 4.495 Å
α = 90.00°, β = 90.00°, γ = 90.00°
Atoms (fractional coordinates):
Nb  0.000  0.000  0.000
Bi  0.500  0.500  0.500
B  0.000  0.500  0.500
B  0.500  0.000  0.500
B  0.500  0.500  0.000

The value obtained for the energy of formation from the pure elements is 1327.2 kJ/mol of formula units. The calculation puts the distance to the lowest polymorph of the same formula at 1420 meV/atom.

=====

Record 6
## Nb2BiB (PBE)

Data for Nb2BiB after structural relaxation.

a = 5.587 Å, b = 5.587 Å, c = 11.569 Å
α = 90.00°, β = 90.00°, γ = 90.00°
Atoms (fractional coordinates):
Nb  0.134  0.250  0.125
Nb  0.250  0.634  0.375
Nb  0.250  0.866  0.875
Nb  0.366  0.250  0.625
Nb  0.634  0.750  0.625
Nb  0.750  0.134  0.875
Nb  0.750  0.366  0.375
Nb  0.866  0.750  0.125
Bi  0.000  0.000  0.500
Bi  0.000  0.500  0.750
Bi  0.500  0.000  0.250
Bi  0.500  0.500  0.000
B  0.000  0.000  0.000
B  0.000  0.500  0.250
B  0.500  0.000  0.750
B  0.500  0.500  0.500

The value obtained for the energy of formation from the pure elements is 270.6 kJ/mol of formula units. The calculation puts the distance to the lowest polymorph of the same formula at 0 meV/atom.

=====

Record 7
## Nb2BiB (PBE)

Data for Nb2BiB after structural relaxation.

a = 6.515 Å, b = 6.515 Å, c = 6.515 Å
α = 90.00°, β = 90.00°, γ = 90.00°
Atoms (fractional coordinates):
Nb  0.250  0.250  0.250
Nb  0.250  0.250  0.750
Nb  0.250  0.750  0.250
Nb  0.250  0.750  0.750
Nb  0.750  0.250  0.250
Nb  0.750  0.250  0.750
Nb  0.750  0.750  0.250
Nb  0.750  0.750  0.750
Bi  0.000  0.000  0.000
Bi  0.000  0.500  0.500
Bi  0.500  0.000  0.500
Bi  0.500  0.500  0.000
B  0.000  0.000  0.500
B  0.000  0.500  0.000
B  0.500  0.000  0.000
B  0.500  0.500  0.500

The value obtained for the energy of formation from the pure elements is 295.6 kJ/mol of formula units. The calculation puts the distance to the lowest polymorph of the same formula at 65 meV/atom.

=====

Record 8
## NbNiBi2B (PBE)

Data for NbNiBi2B after structural relaxation.

a = 5.281 Å, b = 5.281 Å, c = 3.691 Å
α = 90.00°, β = 90.00°, γ = 90.00°
Atoms (fractional coordinates):
Nb  0.000  0.000  0.000
Ni  0.500  0.500  0.500
Bi  0.000  0.500  0.500
Bi  0.500  0.000  0.500
B  0.500  0.500  0.000

The value obtained for the energy of formation from the pure elements is 373.5 kJ/mol of formula units.